one | ## TlCuH2 (PBE)

Data for TlCuH2 after structural relaxation.

a = 6.451 Å, b = 6.451 Å, c = 6.451 Å
α = 27.45°, β = 27.45°, γ = 27.45°
Atoms (fractional coordinates):
Tl: 0.000 0.000 0.000
Cu: 0.500 0.500 0.500
H: 0.208 0.208 0.208
H: 0.792 0.792 0.792

- DOS at the Fermi energy: 1.76 states/eV/cell
- SG: No. 166

---

two | ## TlCuH2 (PBE)

Data for TlCuH2 after structural relaxation.

a = 4.103 Å, b = 4.103 Å, c = 4.103 Å
α = 60.00°, β = 60.00°, γ = 60.00°
Atoms (fractional coordinates):
Tl: 0.000 0.000 0.000
Cu: 0.500 0.500 0.500
H: 0.250 0.250 0.250
H: 0.750 0.750 0.750

- DOS at the Fermi energy: 1.40 states/eV/cell
- SG: No. 225

---

Relative energies with respect to the most stable structure, expressed in meV per atom: one 0; two 424.

---

one | ## TlCu2H (PBE)

Data for TlCu2H after structural relaxation.

a = 5.602 Å, b = 5.602 Å, c = 5.602 Å
α = 125.20°, β = 125.20°, γ = 81.21°
Atoms (fractional coordinates):
Tl: 0.000 0.000 0.000
Tl: 0.750 0.250 0.500
Cu: 0.345 0.625 0.220
Cu: 0.375 0.595 0.720
Cu: 0.405 0.125 0.780
Cu: 0.875 0.655 0.280
H: 0.250 0.750 0.500
H: 0.500 0.500 0.000

- DOS at the Fermi energy: 1.94 states/eV/cell
- SG: No. 122

---

two | ## TlCu2H (PBE)

Data for TlCu2H after structural relaxation.

a = 4.366 Å, b = 4.366 Å, c = 4.366 Å
α = 60.00°, β = 60.00°, γ = 60.00°
Atoms (fractional coordinates):
Tl: 0.000 0.000 0.000
Cu: 0.250 0.250 0.250
Cu: 0.750 0.750 0.750
H: 0.500 0.500 0.500

- DOS at the Fermi energy: 1.31 states/eV/cell
- SG: No. 225

---

Relative energies with respect to the most stable structure, expressed in meV per atom: one 0; two 529.

---

one | ## VCu2H (PBE)

Data for VCu2H after structural relaxation.

a = 5.032 Å, b = 5.032 Å, c = 5.032 Å
α = 119.26°, β = 119.26°, γ = 91.29°
Atoms (fractional coordinates):
V: 0.000 0.000 0.000
V: 0.750 0.250 0.500
Cu: 0.320 0.625 0.195
Cu: 0.375 0.570 0.695
Cu: 0.430 0.125 0.805
Cu: 0.875 0.680 0.305
H: 0.250 0.750 0.500
H: 0.500 0.500 0.000

- DOS at the Fermi energy: 5.25 states/eV/cell
- SG: No. 122

---

two | ## VCu2H (PBE)

Data for VCu2H after structural relaxation.

a = 4.000 Å, b = 4.000 Å, c = 4.000 Å
α = 60.00°, β = 60.00°, γ = 60.00°
Atoms (fractional coordinates):
V: 0.000 0.000 0.000
Cu: 0.250 0.250 0.250
Cu: 0.750 0.750 0.750
H: 0.500 0.500 0.500

- DOS at the Fermi energy: 3.04 states/eV/cell
- SG: No. 225

---

Relative energies with respect to the most stable structure, expressed in meV per atom: one 0; two 394.

---

one | ## V3CuH (PBE)

Data for V3CuH after structural relaxation.

a = 4.589 Å, b = 4.589 Å, c = 4.589 Å
α = 90.00°, β = 90.00°, γ = 90.00°
Atoms (fractional coordinates):
V: 0.000 0.000 0.500
V: 0.000 0.500 0.000
V: 0.500 0.000 0.000
Cu: 0.000 0.000 0.000
H: 0.500 0.500 0.500

- DOS at the Fermi energy: 9.20 states/eV/cell
- SG: No. 221

---

two | ## V3CuH (PBE)

Data for V3CuH after structural relaxation.

a = 3.798 Å, b = 3.798 Å, c = 3.798 Å
α = 90.00°, β = 90.00°, γ = 90.00°
Atoms (fractional coordinates):
V: 0.000 0.000 0.500
V: 0.000 0.500 0.000
V: 0.500 0.000 0.000
Cu: 0.500 0.500 0.500
H: 0.000 0.000 0.000

- DOS at the Fermi energy: 5.37 states/eV/cell
- SG: No. 221

---

three | ## V3CuH (PBE)

Data for V3CuH after structural relaxation.

a = 4.799 Å, b = 4.387 Å, c = 5.243 Å
α = 90.00°, β = 93.82°, γ = 90.00°
Atoms (fractional coordinates):
V: 0.125 0.000 0.227
V: 0.347 0.492 0.527
V: 0.349 0.527 0.035
V: 0.651 0.027 0.965
V: 0.653 0.992 0.473
V: 0.875 0.500 0.773
Cu: 0.154 0.007 0.737
Cu: 0.846 0.507 0.263
H: 0.443 0.219 0.250
H: 0.557 0.719 0.750

- DOS at the Fermi energy: 12.19 states/eV/cell
- SG: No. 4

---

Relative energies with respect to the most stable structure, expressed in meV per atom: one 1787; two 0; three 47.

---

one | ## VCuH (PBE)

Data for VCuH after structural relaxation.

a = 4.824 Å, b = 4.824 Å, c = 3.795 Å
α = 113.04°, β = 113.04°, γ = 44.45°
Atoms (fractional coordinates):
V: 0.120 0.120 0.370
V: 0.880 0.880 0.630
Cu: 0.369 0.369 0.118
Cu: 0.631 0.631 0.882
H: 0.340 0.340 0.590
H: 0.660 0.660 0.410

- DOS at the Fermi energy: 3.73 states/eV/cell
- SG: No. 12

---

two | ## VCuH (PBE)

Data for VCuH after structural relaxation.

a = 5.046 Å, b = 5.046 Å, c = 5.046 Å
α = 151.21°, β = 151.21°, γ = 41.17°
Atoms (fractional coordinates):
V: 0.000 0.000 0.000
Cu: 0.284 0.284 0.000
H: 0.568 0.568 0.000

- DOS at the Fermi energy: 2.37 states/eV/cell
- SG: No. 107

---

Relative energies with respect to the most stable structure, expressed in meV per atom: one 0; two 91.

---

one | ## V2CuH2 (PBE)

Data for V2CuH2 after structural relaxation.

a = 4.784 Å, b = 4.784 Å, c = 4.784 Å
α = 140.23°, β = 140.23°, γ = 57.50°
Atoms (fractional coordinates):
V: 0.158 0.158 0.000
V: 0.842 0.842 0.000
Cu: 0.500 0.500 0.000
H: 0.250 0.750 0.500
H: 0.750 0.250 0.500

- DOS at the Fermi energy: 4.58 states/eV/cell
- SG: No. 139

---

two | ## V2CuH2 (PBE)

Data for V2CuH2 after structural relaxation.

a = 5.806 Å, b = 5.806 Å, c = 2.565 Å
α = 90.00°, β = 90.00°, γ = 90.00°
Atoms (fractional coordinates):
V: 0.150 0.350 0.000
V: 0.350 0.850 0.000
V: 0.650 0.150 0.000
V: 0.850 0.650 0.000
Cu: 0.000 0.000 0.500
Cu: 0.500 0.500 0.500
H: 0.139 0.639 0.500
H: 0.361 0.139 0.500
H: 0.639 0.861 0.500
H: 0.861 0.361 0.500

- DOS at the Fermi energy: 6.67 states/eV/cell
- SG: No. 127

---

Relative energies with respect to the most stable structure, expressed in meV per atom: one 0; two 175.

---

one | ## VCuH3 (PBE)

Data for VCuH3 after structural relaxation.

a = 3.336 Å, b = 3.336 Å, c = 3.336 Å
α = 90.00°, β = 90.00°, γ = 90.00°
Atoms (fractional coordinates):
V: 0.000 0.000 0.000
Cu: 0.500 0.500 0.500
H: 0.000 0.500 0.500
H: 0.500 0.000 0.500
H: 0.500 0.500 0.000

- DOS at the Fermi energy: 0.59 states/eV/cell
- SG: No. 221

---

two | ## VCuH3 (PBE)

Data for VCuH3 after structural relaxation.

a = 3.376 Å, b = 3.376 Å, c = 3.376 Å
α = 90.00°, β = 90.00°, γ = 90.00°
Atoms (fractional coordinates):
V: 0.000 0.000 0.000
Cu: 0.500 0.500 0.500
H: 0.000 0.000 0.500
H: 0.000 0.500 0.000
H: 0.500 0.000 0.000

- DOS at the Fermi energy: 3.69 states/eV/cell
- SG: No. 221

---

Relative energies with respect to the most stable structure, expressed in meV per atom: one 13; two 0.

---

one | ## V2CuHW (PBE)

Data for V2CuHW after structural relaxation.

a = 3.848 Å, b = 3.848 Å, c = 3.872 Å
α = 90.00°, β = 90.00°, γ = 90.00°
Atoms (fractional coordinates):
V: 0.000 0.500 0.000
V: 0.500 0.000 0.000
Cu: 0.000 0.000 0.500
H: 0.500 0.500 0.000
W: 0.500 0.500 0.500

- DOS at the Fermi energy: 6.86 states/eV/cell
- SG: No. 123

---

two | ## V2CuHW (PBE)

Data for V2CuHW after structural relaxation.

a = 4.085 Å, b = 4.085 Å, c = 3.407 Å
α = 90.00°, β = 90.00°, γ = 90.00°
Atoms (fractional coordinates):
V: 0.000 0.500 0.000
V: 0.500 0.000 0.000
Cu: 0.000 0.000 0.500
H: 0.000 0.000 0.000
W: 0.500 0.500 0.500

- DOS at the Fermi energy: 4.49 states/eV/cell
- SG: No. 123

---

Relative energies with respect to the most stable structure, expressed in meV per atom: one 35; two 0.

---

one | ## Cu3HW (PBE)

Data for Cu3HW after structural relaxation.

a = 3.799 Å, b = 3.799 Å, c = 3.799 Å
α = 90.00°, β = 90.00°, γ = 90.00°
Atoms (fractional coordinates):
Cu: 0.000 0.000 0.500
Cu: 0.000 0.500 0.000
Cu: 0.500 0.000 0.000
H: 0.000 0.000 0.000
W: 0.500 0.500 0.500

- DOS at the Fermi energy: 4.28 states/eV/cell
- SG: No. 221

---

two | ## Cu3HW (PBE)

Data for Cu3HW after structural relaxation.

a = 4.799 Å, b = 4.799 Å, c = 4.799 Å
α = 90.00°, β = 90.00°, γ = 90.00°
Atoms (fractional coordinates):
Cu: 0.000 0.000 0.500
Cu: 0.000 0.500 0.000
Cu: 0.500 0.000 0.000
H: 0.500 0.500 0.500
W: 0.000 0.000 0.000

- DOS at the Fermi energy: 3.79 states/eV/cell
- SG: No. 221

---

Relative energies with respect to the most stable structure, expressed in meV per atom: one 0; two 1517.

---

one | ## CuH2W (PBE)

Data for CuH2W after structural relaxation.

a = 3.624 Å, b = 3.624 Å, c = 3.624 Å
α = 60.00°, β = 60.00°, γ = 60.00°
Atoms (fractional coordinates):
Cu: 0.000 0.000 0.000
H: 0.250 0.250 0.250
H: 0.750 0.750 0.750
W: 0.500 0.500 0.500

- DOS at the Fermi energy: 2.56 states/eV/cell
- SG: No. 225

---

two | ## CuH2W (PBE)

Data for CuH2W after structural relaxation.

a = 4.888 Å, b = 4.888 Å, c = 4.888 Å
α = 127.57°, β = 127.57°, γ = 77.33°
Atoms (fractional coordinates):
Cu: 0.000 0.000 0.000
Cu: 0.750 0.250 0.500
H: 0.109 0.625 0.984
H: 0.375 0.359 0.484
H: 0.641 0.125 0.016
H: 0.875 0.891 0.516
W: 0.250 0.750 0.500
W: 0.500 0.500 0.000

- DOS at the Fermi energy: 0.58 states/eV/cell
- SG: No. 122

---

Relative energies with respect to the most stable structure, expressed in meV per atom: one 406; two 0.

---

one | ## Y2CuH (PBE)

Data for Y2CuH after structural relaxation.

a = 5.937 Å, b = 5.937 Å, c = 5.937 Å
α = 112.99°, β = 112.99°, γ = 102.64°
Atoms (fractional coordinates):
Y: 0.053 0.625 0.928
Y: 0.375 0.303 0.428
Y: 0.697 0.125 0.072
Y: 0.875 0.947 0.572
Cu: 0.250 0.750 0.500
Cu: 0.500 0.500 0.000
H: 0.000 0.000 0.000
H: 0.750 0.250 0.500

- DOS at the Fermi energy: 7.35 states/eV/cell
- SG: No. 122

---

two | ## Y2CuH (PBE)

Data for Y2CuH after structural relaxation.

a = 6.802 Å, b = 6.802 Å, c = 6.802 Å
α = 32.20°, β = 32.20°, γ = 32.20°
Atoms (fractional coordinates):
Y: 0.238 0.238 0.238
Y: 0.762 0.762 0.762
Cu: 0.000 0.000 0.000
H: 0.500 0.500 0.500

- DOS at the Fermi energy: 4.63 states/eV/cell
- SG: No. 166

---

three | ## Y2CuH (PBE)

Data for Y2CuH after structural relaxation.

a = 4.795 Å, b = 4.795 Å, c = 4.795 Å
α = 60.00°, β = 60.00°, γ = 60.00°
Atoms (fractional coordinates):
Y: 0.250 0.250 0.250
Y: 0.750 0.750 0.750
Cu: 0.000 0.000 0.000
H: 0.500 0.500 0.500

- DOS at the Fermi energy: 3.49 states/eV/cell
- SG: No. 225

---

Relative energies with respect to the most stable structure, expressed in meV per atom: one 0; two 34; three 244.

---

one | ## Y2ZnCuH (PBE)

Data for Y2ZnCuH after structural relaxation.

a = 4.879 Å, b = 4.879 Å, c = 3.760 Å
α = 90.00°, β = 90.00°, γ = 90.00°
Atoms (fractional coordinates):
Y: 0.000 0.500 0.000
Y: 0.500 0.000 0.000
Zn: 0.000 0.000 0.500
Cu: 0.500 0.500 0.500
H: 0.000 0.000 0.000

- DOS at the Fermi energy: 3.71 states/eV/cell
- SG: No. 123

---

two | ## Y2ZnCuH (PBE)

Data for Y2ZnCuH after structural relaxation.

a = 4.906 Å, b = 4.906 Å, c = 3.698 Å
α = 90.00°, β = 90.00°, γ = 90.00°
Atoms (fractional coordinates):
Y: 0.000 0.500 0.000
Y: 0.500 0.000 0.000
Zn: 0.000 0.000 0.500
Cu: 0.500 0.500 0.500
H: 0.500 0.500 0.000

- DOS at the Fermi energy: 3.58 states/eV/cell
- SG: No. 123

---

Relative energies with respect to the most stable structure, expressed in meV per atom: one 72; two 0.

---

one | ## ZnCuH (PBE)

Data for ZnCuH after structural relaxation.

a = 2.644 Å, b = 2.644 Å, c = 5.463 Å
α = 90.00°, β = 90.00°, γ = 120.00°
Atoms (fractional coordinates):
Zn: 0.000 0.000 0.000
Cu: 0.333 0.667 0.582
H: 0.667 0.333 0.443

- DOS at the Fermi energy: 0.61 states/eV/cell
- SG: No. 156

---

two | ## ZnCuH (PBE)

Data for ZnCuH after structural relaxation.

a = 3.889 Å, b = 3.889 Å, c = 3.889 Å
α = 126.23°, β = 126.23°, γ = 79.51°
Atoms (fractional coordinates):
Zn: 0.000 0.000 0.000
Cu: 0.572 0.572 0.000
H: 0.307 0.307 0.000

- DOS at the Fermi energy: 0.42 states/eV/cell
- SG: No. 107

---

Relative energies with respect to the most stable structure, expressed in meV per atom: one 0; two 356.